Compound: In2MoRh
Source: Alexandria
Functional: PBE-GGA
Structure: optimized geometry

Uncorrected energy   -5.580 eV per atom
Energy relative to the elements   335 meV per atom
Relative energy among the computed polymorphs   0.288 eV per atom
Crystal system   cubic
Fermi-level density of states   3.6 states/eV per cell

Unit cell a=4.691 b=4.691 c=4.691 alpha=60.00 beta=60.00 gamma=60.00
Atoms (fractional coordinates):
In (0.000, 0.000, 0.000)
In (0.250, 0.250, 0.250)
Mo (0.500, 0.500, 0.500)
Rh (0.750, 0.750, 0.750)